Compound: Fe5Rh
Source: Alexandria
Functional: PBE
Structure: optimized geometry

Offset from the most stable computed form ... 79 meV/atom
DFT total energy ... -8.2227 eV per atom
Formation energy from the elements ... 0.055 eV/atom
Density of states at the Fermi level ... 6.07 states/eV/cell
Calculated volume ... 12.35 Å³/atom

Lattice parameters (Å, degrees): 2.5541 12.2307 2.5541 90.00 111.80 90.00
Fractional positions:
Rh 0.5000 0.8333 0.5000
Fe 0.5000 0.4953 0.5000
Fe 0.0000 0.6571 0.0000
Fe 0.0000 0.3333 0.0000
Fe 0.5000 0.1714 0.5000
Fe 0.0000 0.0096 0.0000

Compound: FeRh
Source: Alexandria
Functional: PBE
Structure: optimized geometry

DFT total energy ... -7.6351 eV per atom
Formation energy from the elements ... 0.272 eV/atom
Density of states at the Fermi level ... 13.64 states/eV/cell
Calculated volume ... 14.23 Å³/atom

Lattice parameters (Å, degrees): 8.5568 8.5568 2.6921 90.00 90.00 120.00
Fractional positions:
Rh 0.5191 0.1398 0.2500
Fe 0.7791 0.0448 0.2500
Rh 0.4809 0.8602 0.7500
Fe 0.9552 0.7343 0.2500
Fe 0.7343 0.7791 0.7500
Fe 0.2209 0.9552 0.7500
Rh 0.3793 0.5191 0.7500
Rh 0.1398 0.6207 0.7500
Fe 0.2657 0.2209 0.2500
Rh 0.8602 0.3793 0.2500
Rh 0.6207 0.4809 0.2500
Fe 0.0448 0.2657 0.7500

Compound: FeRh2
Source: Alexandria
Functional: PBE
Structure: optimized geometry

DFT total energy ... -7.5873 eV per atom
Formation energy from the elements ... 0.135 eV/atom
Density of states at the Fermi level ... 10.55 states/eV/cell
Calculated volume ... 13.88 Å³/atom

Lattice parameters (Å, degrees): 4.8293 4.8293 4.8293 103.38 103.38 122.50
Fractional positions:
Rh 0.8484 0.6516 0.5000
Rh 0.3484 0.8484 0.1968
Fe 0.7500 0.7500 0.0000
Rh 0.1516 0.3484 0.5000
Fe 0.2500 0.2500 0.0000
Rh 0.6516 0.1516 0.8032

Compound: FeRh2
Source: Alexandria
Functional: PBE
Structure: optimized geometry

DFT total energy ... -7.6653 eV per atom
Formation energy from the elements ... 0.057 eV/atom
Density of states at the Fermi level ... 7.19 states/eV/cell
Calculated volume ... 13.69 Å³/atom

Lattice parameters (Å, degrees): 7.0310 7.0310 2.8017 90.00 90.00 143.63
Fractional positions:
Fe 0.4276 0.5724 0.2500
Rh 0.7299 0.2701 0.2500
Rh 0.0885 0.9115 0.2500
Fe 0.5724 0.4276 0.7500
Rh 0.9115 0.0885 0.7500
Rh 0.2701 0.7299 0.7500

Compound: FeRh
Source: Alexandria
Functional: PBE
Structure: optimized geometry

DFT total energy ... -6.5914 eV per atom
Formation energy from the elements ... 1.316 eV/atom
Density of states at the Fermi level ... 13.62 states/eV/cell
Calculated volume ... 22.86 Å³/atom

Lattice parameters (Å, degrees): 6.4975 6.4975 6.4975 90.00 90.00 90.00
Fractional positions:
Rh 0.0000 0.5000 0.2500
Fe 0.5000 0.0000 0.7500
Rh 0.5000 0.7500 0.0000
Fe 0.5000 0.0000 0.2500
Rh 0.5000 0.2500 0.0000
Fe 0.2500 0.5000 0.0000
Rh 0.7500 0.0000 0.5000
Fe 0.7500 0.5000 0.0000
Fe 0.0000 0.2500 0.5000
Fe 0.0000 0.7500 0.5000
Rh 0.2500 0.0000 0.5000
Rh 0.0000 0.5000 0.7500

Compound: FeRh2
Source: Alexandria
Functional: PBE
Structure: optimized geometry

DFT total energy ... -7.2577 eV per atom
Formation energy from the elements ... 0.464 eV/atom
Density of states at the Fermi level ... 3.75 states/eV/cell
Calculated volume ... 15.47 Å³/atom

Lattice parameters (Å, degrees): 4.0190 4.0190 2.8726 90.00 90.00 90.00
Fractional positions:
Rh 0.0000 0.5000 0.5000
Rh 0.5000 0.0000 0.5000
Fe 0.0000 0.0000 0.0000

Compound: FeRh3
Source: Alexandria
Functional: PBE
Structure: optimized geometry

DFT total energy ... -7.6473 eV per atom
Formation energy from the elements ... -0.018 eV/atom
Density of states at the Fermi level ... 5.20 states/eV/cell
Calculated volume ... 13.80 Å³/atom

Lattice parameters (Å, degrees): 2.7259 4.3424 4.6625 90.00 90.00 90.00
Fractional positions:
Rh 0.0000 0.5000 0.3332
Rh 0.5000 0.0000 0.4959
Rh 0.5000 0.5000 0.8355
Fe 0.0000 0.0000 0.0021

Compound: Fe3Rh
Source: Alexandria
Functional: PBE
Structure: optimized geometry

DFT total energy ... -8.1730 eV per atom
Formation energy from the elements ... 0.012 eV/atom
Density of states at the Fermi level ... 2.31 states/eV/cell
Calculated volume ... 12.74 Å³/atom

Lattice parameters (Å, degrees): 4.8315 4.8315 4.8315 116.84 116.84 116.84
Fractional positions:
Rh 0.5000 0.0000 0.5000
Fe 0.0000 0.0000 0.0000
Fe 0.0000 0.5000 0.5000
Fe 0.5000 0.5000 0.0000

Compound: FeRh
Source: Alexandria
Functional: PBE
Structure: optimized geometry

DFT total energy ... -7.3772 eV per atom
Formation energy from the elements ... 0.530 eV/atom
Density of states at the Fermi level ... 4.75 states/eV/cell
Calculated volume ... 15.61 Å³/atom

Lattice parameters (Å, degrees): 3.6109 3.6109 5.5290 90.00 90.00 120.00
Fractional positions:
Fe 0.6667 0.3333 0.7500
Rh 0.0000 0.0000 0.5000
Fe 0.3333 0.6667 0.2500
Rh 0.0000 0.0000 0.0000

Compound: FeRh
Source: Alexandria
Functional: PBE
Structure: optimized geometry

DFT total energy ... -7.9104 eV per atom
Formation energy from the elements ... -0.003 eV/atom
Density of states at the Fermi level ... 5.60 states/eV/cell
Calculated volume ... 13.53 Å³/atom

Lattice parameters (Å, degrees): 2.9522 9.3122 2.9522 90.00 90.00 90.00
Fractional positions:
Rh 0.5000 0.8526 0.5000
Fe 0.0000 0.0099 0.0000
Rh 0.0000 0.6516 0.0000
Fe 0.5000 0.4963 0.5000
Fe 0.5000 0.1622 0.5000
Rh 0.0000 0.3274 0.0000

Compound: FeRh
Source: Alexandria
Functional: PBE
Structure: optimized geometry

DFT total energy ... -7.8938 eV per atom
Formation energy from the elements ... 0.013 eV/atom
Density of states at the Fermi level ... 6.96 states/eV/cell
Calculated volume ... 13.40 Å³/atom

Lattice parameters (Å, degrees): 4.1588 5.0943 4.9154 62.03 115.03 114.09
Fractional positions:
Fe 0.3333 0.1667 0.5000
Rh 0.9825 0.4764 0.4886
Fe 0.0150 0.0049 0.0252
Rh 0.6841 0.8569 0.5114
Fe 0.6516 0.3284 0.9748
Rh 0.3333 0.6667 0.0000

Compound: FeRh
Source: Alexandria
Functional: PBE
Structure: optimized geometry

DFT total energy ... -7.9087 eV per atom
Formation energy from the elements ... -0.002 eV/atom
Density of states at the Fermi level ... 4.41 states/eV/cell
Calculated volume ... 13.51 Å³/atom

Lattice parameters (Å, degrees): 5.0241 5.0241 5.0241 145.78 130.01 61.98
Fractional positions:
Rh 0.1353 0.8853 0.7500
Fe 0.6168 0.3668 0.7500
Rh 0.8647 0.1147 0.2500
Fe 0.3832 0.6332 0.2500

Computed values of magnetization (unit: μB per formula unit) for the preceding records, in sequence: 13.22 2.95 3.87 3.76 2.18 3.16 3.47 8.94 3.66 3.95 3.62 3.96.